# 1
# PBE V2SbHRu, relaxed
data_V2SbHRu
_cell_length_a 3.8754
_cell_length_b 3.8754
_cell_length_c 4.1884
_cell_angle_alpha 90.00
_cell_angle_beta 90.00
_cell_angle_gamma 90.00
_symmetry_space_group_name_H-M 'P 4/m m m'
_symmetry_Int_Tables_number 123
_symmetry_space_group_name_Hall '-P 4 2'
loop_
_atom_site_label
_atom_site_type_symbol
_atom_site_fract_x
_atom_site_fract_y
_atom_site_fract_z
V1 V 0.0000 0.5000 0.0000
Sb1 Sb 0.0000 0.0000 0.5000
H1 H 0.5000 0.5000 0.0000
Ru1 Ru 0.5000 0.5000 0.5000
# VASP energy in eV/atom: -7.07
# N(E_F) in states/eV per cell: 4.70

# 2
# PBE YSbHRu2, relaxed
data_YSbHRu2
_cell_length_a 4.2916
_cell_length_b 4.2916
_cell_length_c 4.1045
_cell_angle_alpha 90.00
_cell_angle_beta 90.00
_cell_angle_gamma 90.00
_symmetry_space_group_name_H-M 'P 4/m m m'
_symmetry_Int_Tables_number 123
_symmetry_space_group_name_Hall '-P 4 2'
loop_
_atom_site_label
_atom_site_type_symbol
_atom_site_fract_x
_atom_site_fract_y
_atom_site_fract_z
Y1 Y 0.0000 0.0000 0.0000
Sb1 Sb 0.5000 0.5000 0.0000
H1 H 0.0000 0.0000 0.5000
Ru1 Ru 0.0000 0.5000 0.5000
# VASP energy in eV/atom: -6.70
# N(E_F) in states/eV per cell: 3.34

# 3
# PBE Zn2SbHRu, relaxed
data_Zn2SbHRu
_cell_length_a 4.9181
_cell_length_b 4.9181
_cell_length_c 4.8942
_cell_angle_alpha 90.00
_cell_angle_beta 90.00
_cell_angle_gamma 90.00
_symmetry_space_group_name_H-M 'P 4/m m m'
_symmetry_Int_Tables_number 123
_symmetry_space_group_name_Hall '-P 4 2'
loop_
_atom_site_label
_atom_site_type_symbol
_atom_site_fract_x
_atom_site_fract_y
_atom_site_fract_z
Zn1 Zn 0.0000 0.5000 0.0000
Sb1 Sb 0.0000 0.0000 0.5000
H1 H 0.5000 0.5000 0.5000
Ru1 Ru 0.0000 0.0000 0.0000
# VASP energy in eV/atom: -3.26
# N(E_F) in states/eV per cell: 1.15

# 4
# PBE ScH3Ru, relaxed
data_ScH3Ru
_cell_length_a 10.8868
_cell_length_b 3.5190
_cell_length_c 4.6030
_cell_angle_alpha 90.00
_cell_angle_beta 90.39
_cell_angle_gamma 90.00
_symmetry_space_group_name_H-M 'C 1 m 1'
_symmetry_Int_Tables_number 8
loop_
_symmetry_equiv_pos_as_xyz
'x,y,z'
'x,-y,z'
'x+1/2,y+1/2,z'
'x+1/2,-y+1/2,z'
loop_
_atom_site_label
_atom_site_type_symbol
_atom_site_fract_x
_atom_site_fract_y
_atom_site_fract_z
Sc1 Sc 0.0000 0.0000 0.0000
Sc2 Sc 0.2302 0.5000 0.4784
H1 H 0.0615 0.5000 0.2361
H2 H 0.0728 0.5000 0.7618
H3 H 0.1737 0.0000 0.2507
H4 H 0.2684 0.5000 0.9895
H5 H 0.3037 0.0000 0.6321
H6 H 0.4439 0.5000 0.4899
Ru1 Ru 0.2882 0.0000 0.0052
Ru2 Ru 0.4585 0.0000 0.5070
# VASP energy in eV/atom: -5.57
# N(E_F) in states/eV per cell: 7.35

# 5
# PBE ScH9Ru2, relaxed
data_ScH9Ru2
_cell_length_a 7.9689
_cell_length_b 7.9689
_cell_length_c 4.8588
_cell_angle_alpha 90.00
_cell_angle_beta 90.00
_cell_angle_gamma 90.00
_symmetry_space_group_name_H-M 'I 41/a m d'
_symmetry_Int_Tables_number 141
loop_
_symmetry_equiv_pos_as_xyz
'x,y,z'
'-x,-y,-z'
'-y+1/4,x+3/4,z+1/4'
'y+1/4,-x+3/4,-z+1/4'
'-x+1/2,-y,z+1/2'
'x+1/2,y,-z+1/2'
'y+1/4,-x+1/4,z+3/4'
'-y+1/4,x+1/4,-z+3/4'
'x,-y,-z'
'-x,y,z'
'-y+1/4,-x+1/4,-z+3/4'
'y+1/4,x+1/4,z+3/4'
'-x+1/2,y,-z+1/2'
'x+1/2,-y,z+1/2'
'y+1/4,x+3/4,-z+1/4'
'-y+1/4,-x+3/4,z+1/4'
'x+1/2,y+1/2,z+1/2'
'-x+1/2,-y+1/2,-z+1/2'
'-y+3/4,x+1/4,z+3/4'
'y+3/4,-x+1/4,-z+3/4'
'-x,-y+1/2,z'
'x,y+1/2,-z'
'y+3/4,-x+3/4,z+1/4'
'-y+3/4,x+3/4,-z+1/4'
'x+1/2,-y+1/2,-z+1/2'
'-x+1/2,y+1/2,z+1/2'
'-y+3/4,-x+3/4,-z+1/4'
'y+3/4,x+3/4,z+1/4'
'-x,y+1/2,-z'
'x,-y+1/2,z'
'y+3/4,x+1/4,-z+3/4'
'-y+3/4,-x+1/4,z+3/4'
loop_
_atom_site_label
_atom_site_type_symbol
_atom_site_fract_x
_atom_site_fract_y
_atom_site_fract_z
Sc1 Sc 0.0000 0.2500 0.3750
H1 H 0.0000 0.2500 0.8750
H2 H 0.1167 0.0531 0.6935
Ru1 Ru 0.0000 0.0000 0.0000
# VASP energy in eV/atom: -4.52
# N(E_F) in states/eV per cell: 7.48

# 6
# PBE Sc2H3Ru, relaxed
data_Sc2H3Ru
_cell_length_a 9.2165
_cell_length_b 5.5890
_cell_length_c 5.1720
_cell_angle_alpha 90.00
_cell_angle_beta 105.20
_cell_angle_gamma 90.00
_symmetry_space_group_name_H-M 'C 1 2/c 1'
_symmetry_Int_Tables_number 15
loop_
_symmetry_equiv_pos_as_xyz
'x,y,z'
'-x,-y,-z'
'-x,y,-z+1/2'
'x,-y,z+1/2'
'x+1/2,y+1/2,z'
'-x+1/2,-y+1/2,-z'
'-x+1/2,y+1/2,-z+1/2'
'x+1/2,-y+1/2,z+1/2'
loop_
_atom_site_label
_atom_site_type_symbol
_atom_site_fract_x
_atom_site_fract_y
_atom_site_fract_z
Sc1 Sc 0.1581 0.1862 0.2162
H1 H 0.0000 0.0468 0.7500
H2 H 0.1847 0.4850 0.9394
Ru1 Ru 0.0000 0.3440 0.7500
# VASP energy in eV/atom: -5.68
# N(E_F) in states/eV per cell: 11.55

# 7
# PBE ScH3Ru, relaxed
data_ScH3Ru
_cell_length_a 7.3849
_cell_length_b 9.4241
_cell_length_c 4.9612
_cell_angle_alpha 90.00
_cell_angle_beta 90.00
_cell_angle_gamma 90.00
_symmetry_space_group_name_H-M 'C m c e'
_symmetry_Int_Tables_number 64
_symmetry_space_group_name_Hall '-C 2ac 2'
loop_
_atom_site_label
_atom_site_type_symbol
_atom_site_fract_x
_atom_site_fract_y
_atom_site_fract_z
Sc1 Sc 0.2500 0.1275 0.2500
H1 H 0.0000 0.0501 0.1702
H2 H 0.0000 0.1876 0.4764
H3 H 0.2500 0.1259 0.7500
Ru1 Ru 0.0000 0.1367 0.8354
# VASP energy in eV/atom: -5.50
# N(E_F) in states/eV per cell: 1.43

# 8
# PBE Sc2H7Ru2, relaxed
data_Sc2H7Ru2
_cell_length_a 6.1343
_cell_length_b 6.8273
_cell_length_c 4.2566
_cell_angle_alpha 90.00
_cell_angle_beta 90.00
_cell_angle_gamma 90.00
_symmetry_space_group_name_H-M 'C m m m'
_symmetry_Int_Tables_number 65
_symmetry_space_group_name_Hall '-C 2 2'
loop_
_atom_site_label
_atom_site_type_symbol
_atom_site_fract_x
_atom_site_fract_y
_atom_site_fract_z
Sc1 Sc 0.2381 0.0000 0.0000
H1 H 0.0000 0.0000 0.5000
H2 H 0.0000 0.5000 0.2798
H3 H 0.2500 0.2500 0.2705
Ru1 Ru 0.0000 0.2619 0.5000
# VASP energy in eV/atom: -5.30
# N(E_F) in states/eV per cell: 8.49

# 9
# PBE ScH3Ru, relaxed
data_ScH3Ru
_cell_length_a 5.3836
_cell_length_b 5.3836
_cell_length_c 5.7704
_cell_angle_alpha 90.00
_cell_angle_beta 90.00
_cell_angle_gamma 120.00
_symmetry_space_group_name_H-M 'R 3 m'
_symmetry_Int_Tables_number 160
_symmetry_space_group_name_Hall 'R 3 -2"'
loop_
_atom_site_label
_atom_site_type_symbol
_atom_site_fract_x
_atom_site_fract_y
_atom_site_fract_z
Sc1 Sc 0.0000 0.0000 0.0000
H1 H 0.2058 0.4115 0.9547
Ru1 Ru 0.0000 0.0000 0.4874
# VASP energy in eV/atom: -5.13
# N(E_F) in states/eV per cell: 12.03

# 10
# PBE ScH3Ru, relaxed
data_ScH3Ru
_cell_length_a 2.9781
_cell_length_b 3.8267
_cell_length_c 9.0120
_cell_angle_alpha 90.00
_cell_angle_beta 90.00
_cell_angle_gamma 90.00
_symmetry_space_group_name_H-M 'A m m 2'
_symmetry_Int_Tables_number 38
loop_
_symmetry_equiv_pos_as_xyz
'x,y,z'
'-x,-y,z'
'-x,y,z'
'x,-y,z'
'x,y+1/2,z+1/2'
'-x,-y+1/2,z+1/2'
'-x,y+1/2,z+1/2'
'x,-y+1/2,z+1/2'
loop_
_atom_site_label
_atom_site_type_symbol
_atom_site_fract_x
_atom_site_fract_y
_atom_site_fract_z
Sc1 Sc 0.0000 0.0000 0.0000
H1 H 0.0000 0.2470 0.2062
H2 H 0.5000 0.0000 0.8602
Ru1 Ru 0.5000 0.0000 0.6742
# VASP energy in eV/atom: -5.27
# N(E_F) in states/eV per cell: 4.19

# 11
# PBE ScH6Ru2, relaxed
data_ScH6Ru2
_cell_length_a 5.6941
_cell_length_b 5.9132
_cell_length_c 4.8007
_cell_angle_alpha 90.00
_cell_angle_beta 115.85
_cell_angle_gamma 90.00
_symmetry_space_group_name_H-M 'C 1 2/m 1'
_symmetry_Int_Tables_number 12
loop_
_symmetry_equiv_pos_as_xyz
'x,y,z'
'-x,-y,-z'
'-x,y,-z'
'x,-y,z'
'x+1/2,y+1/2,z'
'-x+1/2,-y+1/2,-z'
'-x+1/2,y+1/2,-z'
'x+1/2,-y+1/2,z'
loop_
_atom_site_label
_atom_site_type_symbol
_atom_site_fract_x
_atom_site_fract_y
_atom_site_fract_z
Sc1 Sc 0.0000 0.0000 0.0000
H1 H 0.0928 0.5000 0.7200
H2 H 0.1669 0.3036 0.2594
Ru1 Ru 0.0000 0.2481 0.5000
# VASP energy in eV/atom: -5.13
# N(E_F) in states/eV per cell: 7.69

# 12
# PBE ScH2Ru, relaxed
data_ScH2Ru
_cell_length_a 4.1048
_cell_length_b 4.1048
_cell_length_c 9.7301
_cell_angle_alpha 90.00
_cell_angle_beta 90.00
_cell_angle_gamma 90.00
_symmetry_space_group_name_H-M 'I -4 2 d'
_symmetry_Int_Tables_number 122
_symmetry_space_group_name_Hall 'I -4 2bw'
loop_
_atom_site_label
_atom_site_type_symbol
_atom_site_fract_x
_atom_site_fract_y
_atom_site_fract_z
Sc1 Sc 0.0000 0.0000 0.0000
H1 H 0.1827 0.2500 0.6250
Ru1 Ru 0.0000 0.0000 0.5000
# Excess energy over the best structure of this formula in the dataset in eV/atom: 0.017
# VASP energy in eV/atom: -5.92
# N(E_F) in states/eV per cell: 8.15